Record 1
Below is a crystal of GaCoSCl2 relaxed with PBEsol, with properties calculated at the meta-GGA SCAN level.

## Properties
Uncorrected formation energy in eV/atom: -0.315
Theoretical density in Mg/m³: 4.043

a = 4.7753 Å, b = 4.7753 Å, c = 4.1716 Å
α = 90.00°, β = 90.00°, γ = 90.00°
Last column: nearest neighbours and their distance in Å.
Space group P4/mmm (No. 123)
Inequivalent atoms, fractional coordinates:
1 Ga 0.0000 0.0000 0.0000 (multiplicity 1)  8 Cl 3.17, 4 S 3.38
2 Co 0.5000 0.5000 0.5000 (multiplicity 1)  2 S 2.09
3 S 0.5000 0.5000 0.0000 (multiplicity 1)  2 Co 2.09
4 Cl 0.0000 0.5000 0.5000 (multiplicity 2)  2 Co 2.39

Record 2
Below is a crystal of CoGe3Cl relaxed with PBEsol, with properties calculated at the meta-GGA SCAN level.

## Properties
Uncorrected formation energy in eV/atom: 1.245
Theoretical density in Mg/m³: 4.737

a = 4.7840 Å, b = 4.7840 Å, c = 4.7840 Å
α = 90.00°, β = 90.00°, γ = 90.00°
Last column: nearest neighbours and their distance in Å.
Space group Pm-3m (No. 221)
Inequivalent atoms, fractional coordinates:
1 Co 0.0000 0.0000 0.0000 (multiplicity 1)  12 Ge 3.38
2 Ge 0.0000 0.5000 0.5000 (multiplicity 3)  2 Cl 2.39
3 Cl 0.5000 0.5000 0.5000 (multiplicity 1)  6 Ge 2.39

Record 3
Below is a crystal of CoGeI2Cl relaxed with PBEsol, with properties calculated at the meta-GGA SCAN level.

## Properties
Uncorrected formation energy in eV/atom: 0.401
Theoretical density in Mg/m³: 4.549

a = 5.6485 Å, b = 5.6485 Å, c = 4.8150 Å
α = 90.00°, β = 90.00°, γ = 90.00°
Last column: nearest neighbours and their distance in Å.
Space group P4/mmm (No. 123)
Inequivalent atoms, fractional coordinates:
1 Co 0.0000 0.0000 0.0000 (multiplicity 1)  8 I 3.71, 4 Cl 3.99
2 Ge 0.5000 0.5000 0.5000 (multiplicity 1)  2 Cl 2.41
3 I 0.0000 0.5000 0.5000 (multiplicity 2)  2 Ge 2.82
4 Cl 0.5000 0.5000 0.0000 (multiplicity 1)  2 Ge 2.41

Record 4
Below is a crystal of CoHCl2 relaxed with PBEsol, with properties calculated at the meta-GGA SCAN level.

## Properties
Theoretical density in Mg/m³: 3.883

a = 4.9058 Å, b = 4.9058 Å, c = 9.2998 Å
α = 90.00°, β = 90.00°, γ = 90.00°
Last column: nearest neighbours and their distance in Å.
Space group I-42d (No. 122)
Inequivalent atoms, fractional coordinates:
1 Co 0.0000 0.0000 0.0000 (multiplicity 4)  4 Cl 2.21
2 H 0.0000 0.0000 0.5000 (multiplicity 4)  4 Cl 1.98
3 Cl 0.2099 0.2500 0.6250 (multiplicity 8)  2 H 1.98, 2 Co 2.21

Record 5
Below is a crystal of CoMoH24N6ClO7 relaxed with PBEsol, with properties calculated at the meta-GGA SCAN level.

## Properties
Theoretical density in Mg/m³: 2.096

a = 18.4502 Å, b = 8.7374 Å, c = 8.0704 Å
α = 90.00°, β = 90.00°, γ = 90.00°
Last column: nearest neighbours and their distance in Å.
Space group Pnma (No. 62)
Inequivalent atoms, fractional coordinates:
1 Co 0.1735 0.2500 0.1695 (multiplicity 4)  6 N 1.94-1.95
2 Mo 0.0986 0.7500 0.8747 (multiplicity 4)  4 O 1.76-1.78
3 H 0.0079 0.7500 0.1916 (multiplicity 4)  1 O 1.02
4 H 0.0481 0.1097 0.5971 (multiplicity 8)  1 O 1.00
5 H 0.0523 0.1327 0.1332 (multiplicity 8)  1 N 1.04
6 H 0.0553 0.7500 0.3544 (multiplicity 4)  1 O 0.99
7 H 0.0786 0.5629 0.5791 (multiplicity 8)  1 O 1.00
8 H 0.0862 0.0705 0.3170 (multiplicity 8)  1 N 1.05
9 H 0.1145 0.5049 0.1368 (multiplicity 8)  1 N 1.03
10 H 0.1316 0.1525 0.8926 (multiplicity 8)  1 N 1.03
11 H 0.1656 0.1563 0.4642 (multiplicity 8)  1 N 1.04
12 H 0.2082 0.2500 0.8710 (multiplicity 4)  1 N 1.04
13 H 0.2194 0.6226 0.5386 (multiplicity 8)  1 N 1.04
14 H 0.2202 0.5733 0.7386 (multiplicity 8)  1 N 1.04
15 H 0.2222 0.5094 0.1045 (multiplicity 8)  1 N 1.03
16 H 0.2446 0.2500 0.4386 (multiplicity 4)  1 N 1.03
17 N 0.0987 0.0957 0.1936 (multiplicity 8)  3 H 1.03-1.05
18 N 0.1582 0.2500 0.9313 (multiplicity 4)  3 H 1.03-1.04
19 N 0.1903 0.2500 0.4079 (multiplicity 4)  3 H 1.03-1.04
20 N 0.2468 0.0926 0.1364 (multiplicity 8)  3 H 1.03-1.04
21 Cl 0.1767 0.7500 0.3005 (multiplicity 4)  4 H 2.20-2.36
22 O 0.0041 0.7500 0.3172 (multiplicity 4)  2 H 0.99-1.02
23 O 0.0176 0.7500 0.9956 (multiplicity 4)  1 H 1.59
24 O 0.0738 0.7500 0.6640 (multiplicity 4)  1 Mo 1.76, 2 H 1.77
25 O 0.0854 0.0444 0.5405 (multiplicity 8)  2 H 1.00
26 O 0.1517 0.5858 0.9124 (multiplicity 8)  1 Mo 1.76, 1 H 1.89

Record 6
Below is a crystal of CoH17S2N5ClO4 relaxed with PBEsol, with properties calculated at the meta-GGA SCAN level.

## Properties
Theoretical density in Mg/m³: 2.015

a = 12.6724 Å, b = 7.9913 Å, c = 10.0818 Å
α = 90.00°, β = 90.00°, γ = 90.00°
Last column: nearest neighbours and their distance in Å.
Space group Pnma (No. 62)
Inequivalent atoms, fractional coordinates:
1 Co 0.1605 0.2500 0.2431 (multiplicity 4)  5 N 1.94-1.96
2 H 0.0014 0.1209 0.1368 (multiplicity 8)  1 N 1.04
3 H 0.0020 0.2500 0.7142 (multiplicity 4)  1 O 0.99
4 H 0.0085 0.0540 0.2930 (multiplicity 8)  1 N 1.03
5 H 0.0840 0.5303 0.1737 (multiplicity 8)  1 N 1.04
6 H 0.0911 0.2500 0.8222 (multiplicity 4)  1 O 0.98
7 H 0.0929 0.1456 0.4678 (multiplicity 8)  1 N 1.03
8 H 0.1868 0.5525 0.6991 (multiplicity 8)  1 N 1.04
9 H 0.1919 0.6007 0.8602 (multiplicity 8)  1 N 1.04
10 H 0.2037 0.2500 0.4852 (multiplicity 4)  1 N 1.04
11 H 0.2250 0.5397 0.2972 (multiplicity 8)  1 N 1.03
12 S 0.1476 0.7500 0.4931 (multiplicity 4)  3 O 1.48
13 S 0.1925 0.2500 0.0252 (multiplicity 4)  1 S 2.05, 1 Co 2.23
14 N 0.0534 0.0808 0.2100 (multiplicity 8)  3 H 1.03-1.04
15 N 0.1328 0.2500 0.4341 (multiplicity 4)  3 H 1.03-1.04
16 N 0.2378 0.5730 0.7778 (multiplicity 8)  3 H 1.03-1.04
17 Cl 0.1032 0.7500 0.0167 (multiplicity 4)  7 H 2.28-2.47
18 O 0.0794 0.2500 0.7258 (multiplicity 4)  2 H 0.98-0.99
19 O 0.1002 0.5975 0.5512 (multiplicity 8)  1 S 1.48
20 O 0.1392 0.7500 0.3462 (multiplicity 4)  1 S 1.48

no.,E_tot (eV per atom)
1,-12.16
2,-15.26
3,-23.17
4,-9.17
5,-6.90
6,-6.53